No. 1
{"formula": "Dy6Si2SnSe3", "functional": "PBE", "state": "optimized geometry", "cell": [[-1.036, -3.293, 2.263], [-3.266, -3.664, -6.827], [9.196, -1.095, -1.148]], "species": ["Sn", "Dy", "Dy", "Dy", "Dy", "Dy", "Dy", "Si", "Si", "Se", "Se", "Se"], "frac_coords": [[0.500, 0.000, 0.000], [0.996, 0.739, 0.991], [0.329, 0.425, 0.657], [0.671, 0.575, 0.343], [0.671, 0.098, 0.341], [0.004, 0.261, 0.009], [0.329, 0.902, 0.659], [0.167, 0.334, 0.334], [0.833, 0.666, 0.666], [0.166, 0.832, 0.331], [0.500, 0.500, 0.000], [0.834, 0.168, 0.669]], "spacegroup": "C2/m", "energy_ev_per_atom": -5.677, "crystal_system": "monoclinic"}



No. 2
{"formula": "SmThRh", "functional": "PBE", "state": "optimized geometry", "cell": [[4.936, 0.000, 0.000], [2.468, 4.275, 0.000], [2.468, 1.425, 4.030]], "species": ["Th", "Rh", "Sm"], "frac_coords": [[0.500, 0.500, 0.500], [0.250, 0.250, 0.250], [0.000, 0.000, 0.000]], "spacegroup": "F-43m", "crystal_system": "cubic", "e_above_lowest_polymorph_mev_per_atom": 208, "delta_e_f_ev_per_atom": -0.39}



No. 3
{"formula": "Cs3Cd2Ag4", "functional": "PBE", "state": "optimized geometry", "cell": [[5.067, 0.000, 0.000], [-2.534, 6.689, -0.124], [0.000, -3.085, 9.571]], "species": ["Cd", "Cd", "Ag", "Ag", "Ag", "Ag", "Cs", "Cs", "Cs"], "frac_coords": [[0.675, 0.351, 0.780], [0.325, 0.649, 0.220], [0.915, 0.831, 0.364], [0.085, 0.169, 0.636], [0.241, 0.481, 0.917], [0.759, 0.519, 0.083], [0.000, 0.000, 0.000], [0.372, 0.744, 0.624], [0.628, 0.256, 0.376]], "spacegroup": "C2/m", "crystal_system": "monoclinic", "delta_e_f_ev_per_atom": -0.01}